Entry 1:
This record from Alexandria describes crystalline PrBe2Ir2 at its relaxed geometry. The functional is PBE.

Values from the calculation:
**Energy of formation**: -0.567 eV per atom
**Energy above the lowest structure with this stoichiometry**: 28 meV per atom
**Total magnetization**: 0.0 μB per cell

Lattice parameters (Å, degrees): 7.9140 6.7875 5.6200 78.64 57.23 44.13
With the nearest neighbours (Å) after each atom.
Element x y z (fractional)
Pr: 0.1250 0.1250 0.1250  8 Ir 3.12-3.25, 10 Be 3.13-3.46
Pr: 0.8750 0.8750 0.8750  8 Ir 3.12-3.25, 10 Be 3.13-3.46
Be: 0.1943 0.5557 0.1943  4 Ir 2.23-2.31
Be: 0.4443 0.8057 0.4443  4 Ir 2.23-2.31
Be: 0.5557 0.1943 0.5557  4 Ir 2.23-2.31
Be: 0.8057 0.4443 0.8057  4 Ir 2.23-2.31
Ir: 0.2558 0.2558 0.4942  4 Be 2.23-2.31
Ir: 0.4942 0.4942 0.2558  4 Be 2.23-2.31
Ir: 0.5058 0.5058 0.7442  4 Be 2.23-2.31
Ir: 0.7442 0.7442 0.5058  4 Be 2.23-2.31

Entry 2:
This record from Alexandria describes crystalline Pr3Be4Ir4 at its relaxed geometry. The functional is PBE.

Values from the calculation:
**Energy of formation**: -0.494 eV per atom
**Total magnetization**: 0.0 μB per cell

Lattice parameters (Å, degrees): 6.3213 6.3213 6.3213 109.47 109.47 109.47
With the nearest neighbours (Å) after each atom.
Element x y z (fractional)
Pr: 0.0000 0.5000 0.5000  4 Be 2.99, 4 Ir 3.00
Pr: 0.5000 0.0000 0.5000  4 Be 2.99, 4 Ir 3.00
Pr: 0.5000 0.5000 0.0000  4 Be 2.99, 4 Ir 3.00
Be: 0.0000 0.0000 0.3623  4 Ir 2.30-2.37
Be: 0.0000 0.3623 0.0000  4 Ir 2.30-2.37
Be: 0.3623 0.0000 0.0000  4 Ir 2.30-2.37
Be: 0.6377 0.6377 0.6377  4 Ir 2.30-2.37
Ir: 0.0000 0.0000 0.7261  4 Be 2.30-2.37
Ir: 0.0000 0.7261 0.0000  4 Be 2.30-2.37
Ir: 0.2739 0.2739 0.2739  4 Be 2.30-2.37
Ir: 0.7261 0.0000 0.0000  4 Be 2.30-2.37

Entry 3:
This record from Alexandria describes crystalline Pr2BeIr2 at its relaxed geometry. The functional is PBE.

Values from the calculation:
**Energy of formation**: -0.557 eV per atom
**Total magnetization**: 0.0 μB per cell

Lattice parameters (Å, degrees): 5.8338 5.8338 7.3874 100.46 100.46 57.99
With the nearest neighbours (Å) after each atom.
Element x y z (fractional)
Pr: 0.0190 0.2783 0.1495  6 Ir 2.98-3.15, 1 Be 3.15
Pr: 0.2783 0.0190 0.6495  6 Ir 2.98-3.15, 1 Be 3.15
Pr: 0.7217 0.9810 0.3505  6 Ir 2.98-3.15, 1 Be 3.15
Pr: 0.9810 0.7217 0.8505  6 Ir 2.98-3.15, 1 Be 3.15
Be: 0.4167 0.5833 0.2500  4 Ir 2.40
Be: 0.5833 0.4167 0.7500  4 Ir 2.40
Ir: 0.2491 0.4996 0.4884  2 Be 2.40
Ir: 0.4996 0.2491 0.9884  2 Be 2.40
Ir: 0.5004 0.7509 0.0116  2 Be 2.40
Ir: 0.7509 0.5004 0.5116  2 Be 2.40

Entry 4:
This record from Alexandria describes crystalline Pr3Be2Ir3 at its relaxed geometry. The functional is PBE.

Values from the calculation:
**Energy of formation**: -0.491 eV per atom
**Total magnetization**: 0.0 μB per cell

Lattice parameters (Å, degrees): 5.9346 5.9346 14.8492 90.00 90.00 140.28
With the nearest neighbours (Å) after each atom.
Element x y z (fractional)
Pr: 0.0710 0.9290 0.7500  4 Ir 2.90-2.97, 4 Be 2.99
Pr: 0.3537 0.6463 0.5982  7 Ir 3.03-3.37, 4 Be 3.04-3.32
Pr: 0.3537 0.6463 0.9018  7 Ir 3.03-3.37, 4 Be 3.04-3.32
Pr: 0.6463 0.3537 0.0982  7 Ir 3.03-3.37, 4 Be 3.04-3.32
Pr: 0.6463 0.3537 0.4018  7 Ir 3.03-3.37, 4 Be 3.04-3.32
Pr: 0.9290 0.0710 0.2500  4 Ir 2.90-2.97, 4 Be 2.99
Be: 0.3492 0.6508 0.1138  3 Ir 2.30-2.40
Be: 0.3492 0.6508 0.3862  3 Ir 2.30-2.40
Be: 0.6508 0.3492 0.6138  3 Ir 2.30-2.40
Be: 0.6508 0.3492 0.8862  3 Ir 2.30-2.40
Ir: 0.0886 0.9114 0.5548  2 Be 2.30, 1 Ir 2.56
Ir: 0.0886 0.9114 0.9452  2 Be 2.30, 1 Ir 2.56
Ir: 0.2336 0.7664 0.2500  2 Be 2.40
Ir: 0.7664 0.2336 0.7500  2 Be 2.40
Ir: 0.9114 0.0886 0.0548  2 Be 2.30, 1 Ir 2.56
Ir: 0.9114 0.0886 0.4452  2 Be 2.30, 1 Ir 2.56

Entry 5:
This record from Alexandria describes crystalline Pr3BeIr3 at its relaxed geometry. The functional is PBE.

Values from the calculation:
**Energy of formation**: -0.553 eV per atom
**Total magnetization**: 0.0 μB per cell

Lattice parameters (Å, degrees): 5.8843 5.8843 14.3587 109.90 109.90 41.40
With the nearest neighbours (Å) after each atom.
Element x y z (fractional)
Pr: 0.0236 0.0236 0.3861  5 Ir 2.98-3.12, 4 Be 3.05-3.31
Pr: 0.1066 0.1066 0.9224  7 Ir 3.04-3.23
Pr: 0.2474 0.2474 0.2319  6 Ir 2.97-3.20, 2 Be 3.20
Pr: 0.7526 0.7526 0.7681  6 Ir 2.97-3.20, 2 Be 3.20
Pr: 0.8934 0.8934 0.0776  7 Ir 3.04-3.23
Pr: 0.9764 0.9764 0.6139  5 Ir 2.98-3.12, 4 Be 3.05-3.31
Be: 0.2692 0.2692 0.6040  4 Ir 2.31-2.42
Be: 0.7308 0.7308 0.3960  4 Ir 2.31-2.42
Ir: 0.3140 0.3140 0.4560  3 Be 2.31-2.35
Ir: 0.3815 0.3815 0.9200  2 Ir 2.74-2.78, 5 Pr 2.97-3.04
Ir: 0.4575 0.4575 0.7582  1 Be 2.42
Ir: 0.5425 0.5425 0.2418  1 Be 2.42
Ir: 0.6185 0.6185 0.0800  2 Ir 2.74-2.78, 5 Pr 2.97-3.04
Ir: 0.6860 0.6860 0.5440  3 Be 2.31-2.35

Entry 6:
This record from Alexandria describes crystalline PrBe2Ir2 at its relaxed geometry. The functional is PBE.

Values from the calculation:
**Energy of formation**: -0.595 eV per atom
**Energy above the lowest structure with this stoichiometry**: 0 meV per atom
**Total magnetization**: 0.0 μB per cell

Lattice parameters (Å, degrees): 5.5187 5.5187 5.5187 135.23 135.23 65.18
With the nearest neighbours (Å) after each atom.
Element x y z (fractional)
Pr: 0.0000 0.0000 0.0000  8 Ir 3.13, 10 Be 3.17-3.32
Be: 0.3410 0.3410 0.0000  4 Ir 2.27
Be: 0.6590 0.6590 0.0000  4 Ir 2.27
Ir: 0.2500 0.7500 0.5000  4 Be 2.27
Ir: 0.7500 0.2500 0.5000  4 Be 2.27

Entry 7:
This record from Alexandria describes crystalline PrBe2IrRh at its relaxed geometry. The functional is PBE.

Values from the calculation:
**Energy of formation**: -0.598 eV per atom
**Total magnetization**: 0.0 μB per cell

Lattice parameters (Å, degrees): 5.4758 5.4758 5.4758 135.02 135.02 65.50
With the nearest neighbours (Å) after each atom.
Element x y z (fractional)
Pr: 0.0000 0.0000 0.0000  4 Ir 3.11, 4 Rh 3.11, 10 Be 3.19-3.28
Be: 0.3462 0.3462 0.0000  2 Rh 2.27, 2 Ir 2.27
Be: 0.6538 0.6538 0.0000  2 Ir 2.27, 2 Rh 2.27
Ir: 0.2500 0.7500 0.5000  4 Be 2.27
Rh: 0.7500 0.2500 0.5000  4 Be 2.27

Entry 8:
This record from Alexandria describes crystalline PrBe4IrRh2 at its relaxed geometry. The functional is PBE.

Values from the calculation:
**Energy of formation**: -0.475 eV per atom
**Total magnetization**: 0.0 μB per cell

Lattice parameters (Å, degrees): 8.6434 8.6434 8.6434 26.21 26.21 26.21
With the nearest neighbours (Å) after each atom.
Element x y z (fractional)
Pr: 0.0000 0.0000 0.0000  8 Be 3.02-3.36, 6 Rh 3.27
Be: 0.1342 0.1342 0.1342  3 Ir 2.40, 4 Rh 2.47-2.63, 3 Be 2.64
Be: 0.4130 0.4130 0.4130  1 Ir 2.18, 3 Rh 2.29
Be: 0.5870 0.5870 0.5870  1 Ir 2.18, 3 Rh 2.29
Be: 0.8658 0.8658 0.8658  3 Ir 2.40, 4 Rh 2.47-2.63, 3 Be 2.64
Ir: 0.5000 0.5000 0.5000  8 Be 2.18-2.40
Rh: 0.2392 0.2392 0.2392  6 Be 2.29-2.47
Rh: 0.7608 0.7608 0.7608  6 Be 2.29-2.47

| no. | raw total energy (eV/atom) |
| --- | --- |
| 1 | -6.557 |
| 2 | -6.374 |
| 3 | -6.759 |
| 4 | -6.538 |
| 5 | -6.932 |
| 6 | -6.585 |
| 7 | -6.287 |
| 8 | -5.881 |